Version a
Computed, not measured: Al2PbW at its PBEsol-relaxed geometry at the SCAN level of DFT.

Its density of states at the Fermi level is 0.881 states/eV per atom.

a b c (Å): 2.970 2.970 8.631
angles (deg): 90.00 90.00 90.00
Space group P4/mmm (No. 123)
Inequivalent atoms, fractional coordinates:
Al1 0.000 0.000 0.201 [2 per cell]
Pb1 0.500 0.500 0.500 [1 per cell]
W1 0.500 0.500 0.000 [1 per cell]

Version b
Computed, not measured: Al2PbW at its PBEsol-relaxed geometry at the SCAN level of DFT.

Its density of states at the Fermi level is 0.548 states/eV per atom.

a b c (Å): 2.992 3.822 6.525
angles (deg): 90.00 90.00 90.00
Space group Pmm2 (No. 25)
Inequivalent atoms, fractional coordinates:
Al1 0.000 0.000 0.000 [1 per cell]
Al2 0.500 0.500 0.226 [1 per cell]
Pb1 0.000 0.000 0.529 [1 per cell]
W1 0.500 0.500 0.826 [1 per cell]

Most stable to least stable, the ends of the list are version a and version b.

Version a
Computed, not measured: AlPb2W at its PBEsol-relaxed geometry at the SCAN level of DFT.

Its density of states at the Fermi level is 0.671 states/eV per atom.

a b c (Å): 4.276 4.276 9.172
angles (deg): 90.00 90.00 90.00
Space group I-4m2 (No. 119)
Inequivalent atoms, fractional coordinates:
Al1 0.000 0.000 0.000 [2 per cell]
Pb1 0.000 0.000 0.500 [2 per cell]
Pb2 0.000 0.500 0.250 [2 per cell]
W1 0.000 0.500 0.750 [2 per cell]

Version b
Computed, not measured: AlPb2W at its PBEsol-relaxed geometry at the SCAN level of DFT.

Its density of states at the Fermi level is 0.540 states/eV per atom.

a b c (Å): 3.061 4.910 5.864
angles (deg): 90.00 101.27 90.00
Space group P2/m (No. 10)
Inequivalent atoms, fractional coordinates:
Al1 0.000 0.000 0.000 [1 per cell]
Pb1 0.372 0.500 0.742 [2 per cell]
W1 0.000 0.000 0.500 [1 per cell]

Most stable to least stable, the ends of the list are version b and version a.

Version a
Computed, not measured: AlPb2W at its PBEsol-relaxed geometry at the SCAN level of DFT.

Its density of states at the Fermi level is 0.504 states/eV per atom.

a b c (Å): 3.027 3.462 8.545
angles (deg): 90.00 90.00 90.00
Space group Pmm2 (No. 25)
Inequivalent atoms, fractional coordinates:
Al1 0.000 0.000 0.000 [1 per cell]
Pb1 0.000 0.000 0.612 [1 per cell]
Pb2 0.500 0.500 0.252 [1 per cell]
W1 0.500 0.500 0.850 [1 per cell]

Version b
Computed, not measured: AlPb2W at its PBEsol-relaxed geometry at the SCAN level of DFT.

Its density of states at the Fermi level is 0.636 states/eV per atom.

a b c (Å): 6.074 10.308 3.068
angles (deg): 90.00 117.93 90.00
Space group C2/m (No. 12)
Inequivalent atoms, fractional coordinates:
Al1 0.000 0.000 0.000 [2 per cell]
Pb1 0.250 0.250 0.000 [4 per cell]
W1 0.000 0.500 0.000 [2 per cell]

Most stable to least stable, the ends of the list are version a and version b.

Version a
Computed, not measured: AlRe2Pt at its PBEsol-relaxed geometry at the SCAN level of DFT.

Its density of states at the Fermi level is 0.633 states/eV per atom.

a b c (Å): 3.935 3.935 7.461
angles (deg): 90.00 90.00 90.00
Space group I-4m2 (No. 119)
Inequivalent atoms, fractional coordinates:
Al1 0.000 0.000 0.000 [2 per cell]
Re1 0.000 0.000 0.500 [2 per cell]
Re2 0.000 0.500 0.750 [2 per cell]
Pt1 0.000 0.500 0.250 [2 per cell]

Version b
Computed, not measured: AlRe2Pt at its PBEsol-relaxed geometry at the SCAN level of DFT.

Its density of states at the Fermi level is 0.672 states/eV per atom.

a b c (Å): 2.796 4.071 5.120
angles (deg): 90.00 90.00 90.00
Space group Pmmm (No. 47)
Inequivalent atoms, fractional coordinates:
Al1 0.000 0.000 0.000 [1 per cell]
Re1 0.500 0.500 0.239 [2 per cell]
Pt1 0.000 0.000 0.500 [1 per cell]

Most stable to least stable, the ends of the list are version a and version b.

Version a
Computed, not measured: AlTc2Pt at its PBEsol-relaxed geometry at the SCAN level of DFT.

Its density of states at the Fermi level is 0.919 states/eV per atom.

a b c (Å): 4.586 4.586 2.724
angles (deg): 90.00 90.00 90.00
Space group P4/mmm (No. 123)
Inequivalent atoms, fractional coordinates:
Al1 0.000 0.000 0.000 [1 per cell]
Tc1 0.000 0.500 0.500 [2 per cell]
Pt1 0.500 0.500 0.000 [1 per cell]

Version b
Computed, not measured: AlTc2Pt at its PBEsol-relaxed geometry at the SCAN level of DFT.

Its density of states at the Fermi level is 0.838 states/eV per atom.

a b c (Å): 9.208 2.747 4.549
angles (deg): 90.00 100.05 90.00
Space group C2/m (No. 12)
Inequivalent atoms, fractional coordinates:
Al1 0.000 0.000 0.000 [2 per cell]
Tc1 0.248 0.000 0.755 [4 per cell]
Pt1 0.000 0.500 0.500 [2 per cell]

Version c
Computed, not measured: AlTc2Pt at its PBEsol-relaxed geometry at the SCAN level of DFT.

Its density of states at the Fermi level is 1.090 states/eV per atom.

a b c (Å): 3.648 3.648 4.265
angles (deg): 90.00 90.00 90.00
Space group P4/mmm (No. 123)
Inequivalent atoms, fractional coordinates:
Al1 0.000 0.000 0.000 [1 per cell]
Tc1 0.000 0.500 0.500 [2 per cell]
Pt1 0.500 0.500 0.000 [1 per cell]

Most stable to least stable, the ends of the list are version c and version a.

Version a
Computed, not measured: AlTePt at its PBEsol-relaxed geometry at the SCAN level of DFT.

Its density of states at the Fermi level is 0.491 states/eV per atom.

a b c (Å): 3.7389 3.7389 5.0711
angles (deg): 90.00 90.00 120.00
Space group P3m1 (No. 156)
Inequivalent atoms, fractional coordinates:
Al1 0.0000 0.0000 0.0000 [1 per cell]
Te1 0.3333 0.6667 0.4250 [1 per cell]
Pt1 0.6667 0.3333 0.7572 [1 per cell]

Version b
Computed, not measured: AlTePt at its PBEsol-relaxed geometry at the SCAN level of DFT.

Its density of states at the Fermi level is 0.495 states/eV per atom.

a b c (Å): 6.302 6.302 6.302
angles (deg): 90.00 90.00 90.00
Space group F-43m (No. 216)
Inequivalent atoms, fractional coordinates:
Al1 0.000 0.000 0.000 [4 per cell]
Te1 0.000 0.000 0.500 [4 per cell]
Pt1 0.250 0.250 0.750 [4 per cell]

Most stable to least stable, the ends of the list are version b and version a.

Version a
Computed, not measured: Al2PtW at its PBEsol-relaxed geometry at the SCAN level of DFT.

Its density of states at the Fermi level is 0.387 states/eV per atom.

a b c (Å): 2.8347 2.8347 25.7643
angles (deg): 90.00 90.00 120.00
Space group R-3m (No. 166, hexagonal axes)
Inequivalent atoms, fractional coordinates:
Al1 0.0000 0.0000 0.2470 [6 per cell]
Pt1 0.0000 0.0000 0.5000 [3 per cell]
W1 0.0000 0.0000 0.0000 [3 per cell]

Version b
Computed, not measured: Al2PtW at its PBEsol-relaxed geometry at the SCAN level of DFT.

Its density of states at the Fermi level is 0.538 states/eV per atom.

a b c (Å): 5.837 7.332 2.759
angles (deg): 90.00 90.00 90.00
Space group Cmmm (No. 65)
Inequivalent atoms, fractional coordinates:
Al1 0.250 0.250 0.000 [4 per cell]
Pt1 0.000 0.000 0.500 [2 per cell]
W1 0.000 0.500 0.500 [2 per cell]

Most stable to least stable, the ends of the list are version b and version a.

Version a
Computed, not measured: AlReRh at its PBEsol-relaxed geometry at the SCAN level of DFT.

Its density of states at the Fermi level is 1.025 states/eV per atom.

a b c (Å): 5.750 5.750 5.750
angles (deg): 90.00 90.00 90.00
Space group F-43m (No. 216)
Inequivalent atoms, fractional coordinates:
Al1 0.000 0.000 0.000 [4 per cell]
Re1 0.250 0.250 0.250 [4 per cell]
Rh1 0.250 0.250 0.750 [4 per cell]

Version b
Computed, not measured: AlReRh at its PBEsol-relaxed geometry at the SCAN level of DFT.

Its density of states at the Fermi level is 1.030 states/eV per atom.

a b c (Å): 2.735 2.735 11.162
angles (deg): 90.00 90.00 90.00
Space group I4mm (No. 107)
Inequivalent atoms, fractional coordinates:
Al1 0.000 0.000 0.000 [2 per cell]
Re1 0.000 0.000 0.676 [2 per cell]
Rh1 0.000 0.000 0.337 [2 per cell]

Most stable to least stable, the ends of the list are version b and version a.